Here is an optimized crystal structure of BeFe3W from the Alexandria database. Energies are from PBE-GGA.

Values from the calculation:
Volume ... 17.6 Å³/atom
Electronic total energy ... -6.59 eV/atom
Formation energy from the elements ... 9.1 eV per formula unit
Symmetry ... Pm-3m (221)

Unit cell a=4.447 b=4.447 c=4.447 alpha=90.00 beta=90.00 gamma=90.00
Last column: magnetic moment on the atom in μB.
Positions (direct):
Fe (0.000, 0.500, 0.000)  1.69
Fe (0.500, 0.000, 0.000)  1.43
Fe (0.000, 0.000, 0.500)  1.81
Be (0.500, 0.500, 0.500)  -0.07
W (0.000, 0.000, 0.000)  -0.49